Computed, not measured: AlTcAsO after structural relaxation at the PBE level of DFT. Values from VASP.

```
&SYSTEM
  ibrav = 0, nat = 8, ntyp = 4
/
ATOMIC_SPECIES
Al 26.98 Al.upf
Tc 98.00 Tc.upf
As 74.92 As.upf
O 16.00 O.upf
ATOMIC_POSITIONS angstrom
Al 0.0000 0.9229 0.0000
Al 0.0000 4.3863 2.5058
Tc 2.2056 0.9430 1.7863
Tc 2.2056 4.3661 4.2921
As 2.2056 1.8123 4.1881
As 2.2056 3.4968 1.6823
O 0.0000 0.7156 1.7744
O 0.0000 4.5935 4.2802
CELL_PARAMETERS angstrom
4.4112 0.0000 0.0000
0.0000 5.3091 0.0000
0.0000 0.0000 5.0116
```

- symmetry = Pmc2_1
- offset from the most stable computed form (meV per atom) = 221

---

Computed, not measured: AlTcAsO after structural relaxation at the PBE level of DFT. Values from VASP.

```
&SYSTEM
  ibrav = 0, nat = 8, ntyp = 4
/
ATOMIC_SPECIES
Al 26.98 Al.upf
Tc 98.00 Tc.upf
As 74.92 As.upf
O 16.00 O.upf
ATOMIC_POSITIONS angstrom
Al 0.9004 0.9004 0.7725
Al 2.7011 2.7011 8.3454
Tc 0.9004 2.7011 4.5589
Tc 2.7011 0.9004 4.5589
As 0.9004 0.9004 6.4043
As 2.7011 2.7011 2.7136
O 0.9004 2.7011 0.0000
O 2.7011 0.9004 0.0000
CELL_PARAMETERS angstrom
3.6015 0.0000 0.0000
0.0000 3.6015 0.0000
0.0000 0.0000 9.1179
```

- symmetry = P4/nmm
- offset from the most stable computed form (meV per atom) = 0

---

Computed, not measured: AlTcAsO after structural relaxation at the PBE level of DFT. Values from VASP.

```
&SYSTEM
  ibrav = 0, nat = 8, ntyp = 4
/
ATOMIC_SPECIES
Al 26.98 Al.upf
Tc 98.00 Tc.upf
As 74.92 As.upf
O 16.00 O.upf
ATOMIC_POSITIONS angstrom
Al 0.8719 2.6156 0.0000
Al 2.6156 0.8719 0.0000
Tc 0.8719 0.8719 3.5208
Tc 2.6156 2.6156 5.9678
As 0.8719 0.8719 7.2531
As 2.6156 2.6156 2.2355
O 0.8719 2.6156 4.7443
O 2.6156 0.8719 4.7443
CELL_PARAMETERS angstrom
3.4875 0.0000 0.0000
0.0000 3.4875 0.0000
0.0000 0.0000 9.4885
```

- symmetry = P4/nmm
- offset from the most stable computed form (meV per atom) = 863

---

Computed, not measured: AlTcAsO after structural relaxation at the PBE level of DFT. Values from VASP.

```
&SYSTEM
  ibrav = 0, nat = 8, ntyp = 4
/
ATOMIC_SPECIES
Al 26.98 Al.upf
Tc 98.00 Tc.upf
As 74.92 As.upf
O 16.00 O.upf
ATOMIC_POSITIONS angstrom
Al 0.0000 0.9222 0.0000
Al 0.0000 4.9361 3.0021
Tc 1.6216 2.9197 0.9032
Tc 1.6216 2.9386 3.9053
As 0.0000 1.5681 2.5822
As 0.0000 4.2902 5.5843
O 1.6216 1.3207 5.3277
O 1.6216 4.5376 2.3256
CELL_PARAMETERS angstrom
3.2432 0.0000 0.0000
0.0000 5.8583 0.0000
0.0000 0.0000 6.0042
```

- symmetry = Pmc2_1
- offset from the most stable computed form (meV per atom) = 38

---

Computed, not measured: AlZnAsO after structural relaxation at the PBE level of DFT. Values from VASP.

```
&SYSTEM
  ibrav = 0, nat = 8, ntyp = 4
/
ATOMIC_SPECIES
Al 26.98 Al.upf
Zn 65.41 Zn.upf
As 74.92 As.upf
O 16.00 O.upf
ATOMIC_POSITIONS angstrom
Al 0.0000 1.2898 0.0000
Al 0.0000 4.7688 3.0000
Zn 1.7802 2.1856 3.5396
Zn 1.7802 3.8731 0.5395
As 0.0000 1.0891 2.4291
As 0.0000 4.9696 5.4291
O 1.7802 1.9349 5.6167
O 1.7802 4.1237 2.6167
CELL_PARAMETERS angstrom
3.5603 0.0000 0.0000
0.0000 6.0587 0.0000
0.0000 0.0000 6.0001
```

- symmetry = Pmc2_1
- offset from the most stable computed form (meV per atom) = 169

---

Computed, not measured: AlZnAsO after structural relaxation at the PBE level of DFT. Values from VASP.

```
&SYSTEM
  ibrav = 0, nat = 8, ntyp = 4
/
ATOMIC_SPECIES
Al 26.98 Al.upf
Zn 65.41 Zn.upf
As 74.92 As.upf
O 16.00 O.upf
ATOMIC_POSITIONS angstrom
Al 0.9102 0.9102 0.7838
Al 2.7307 2.7307 7.9461
Zn 0.9102 2.7307 4.3650
Zn 2.7307 0.9102 4.3650
As 0.9102 0.9102 6.1188
As 2.7307 2.7307 2.6111
O 0.9102 2.7307 0.0000
O 2.7307 0.9102 0.0000
CELL_PARAMETERS angstrom
3.6410 0.0000 0.0000
0.0000 3.6410 0.0000
0.0000 0.0000 8.7300
```

- symmetry = P4/nmm
- offset from the most stable computed form (meV per atom) = 180

---

Computed, not measured: AlZnAsO after structural relaxation at the PBE level of DFT. Values from VASP.

```
&SYSTEM
  ibrav = 0, nat = 8, ntyp = 4
/
ATOMIC_SPECIES
Al 26.98 Al.upf
Zn 65.41 Zn.upf
As 74.92 As.upf
O 16.00 O.upf
ATOMIC_POSITIONS angstrom
Al 1.0045 3.0134 0.0000
Al 3.0134 1.0045 0.0000
Zn 1.0045 1.0045 4.2616
Zn 3.0134 3.0134 4.8380
As 1.0045 1.0045 1.5322
As 3.0134 3.0134 7.5674
O 1.0045 3.0134 4.5498
O 3.0134 1.0045 4.5498
CELL_PARAMETERS angstrom
4.0178 0.0000 0.0000
0.0000 4.0178 0.0000
0.0000 0.0000 9.0996
```

- symmetry = P4/nmm
- offset from the most stable computed form (meV per atom) = 449

---

Computed, not measured: AlZnAsO after structural relaxation at the PBE level of DFT. Values from VASP.

```
&SYSTEM
  ibrav = 0, nat = 8, ntyp = 4
/
ATOMIC_SPECIES
Al 26.98 Al.upf
Zn 65.41 Zn.upf
As 74.92 As.upf
O 16.00 O.upf
ATOMIC_POSITIONS angstrom
Al 0.0000 0.7469 0.0000
Al 0.0000 5.3828 2.8053
Zn 1.9510 1.8382 2.3339
Zn 1.9510 4.2915 5.1391
As 1.9510 1.8820 4.7632
As 1.9510 4.2477 1.9580
O 0.0000 0.7902 1.8177
O 0.0000 5.3395 4.6230
CELL_PARAMETERS angstrom
3.9020 0.0000 0.0000
0.0000 6.1297 0.0000
0.0000 0.0000 5.6105
```

- symmetry = Pmc2_1
- offset from the most stable computed form (meV per atom) = 0

---

Computed, not measured: PmAlAs after structural relaxation at the PBE level of DFT. Values from VASP.

```
&SYSTEM
  ibrav = 0, nat = 3, ntyp = 3
/
ATOMIC_SPECIES
Pm 145.00 Pm.upf
Al 26.98 Al.upf
As 74.92 As.upf
ATOMIC_POSITIONS angstrom
Pm 0.0000 0.0000 0.0000
Al 5.1978 5.1978 5.1978
As 1.7326 1.7326 1.7326
CELL_PARAMETERS angstrom
0.0000 3.4652 3.4652
3.4652 0.0000 3.4652
3.4652 3.4652 0.0000
```

- symmetry = F-43m
- offset from the most stable computed form (meV per atom) = 39

---

Computed, not measured: PmAlAs after structural relaxation at the PBE level of DFT. Values from VASP.

```
&SYSTEM
  ibrav = 0, nat = 3, ntyp = 3
/
ATOMIC_SPECIES
Pm 145.00 Pm.upf
Al 26.98 Al.upf
As 74.92 As.upf
ATOMIC_POSITIONS angstrom
Pm 0.0000 0.0000 0.0000
Al 5.0603 5.0603 5.0603
As 3.3735 3.3735 3.3735
CELL_PARAMETERS angstrom
0.0000 3.3735 3.3735
3.3735 0.0000 3.3735
3.3735 3.3735 0.0000
```

- symmetry = F-43m
- offset from the most stable computed form (meV per atom) = 0

---

Computed, not measured: PrAlAs after structural relaxation at the PBE level of DFT. Values from VASP.

```
&SYSTEM
  ibrav = 0, nat = 3, ntyp = 3
/
ATOMIC_SPECIES
Pr 140.91 Pr.upf
Al 26.98 Al.upf
As 74.92 As.upf
ATOMIC_POSITIONS angstrom
Pr 0.0000 0.0000 0.0000
Al 5.2655 5.2655 5.2655
As 1.7552 1.7552 1.7552
CELL_PARAMETERS angstrom
0.0000 3.5104 3.5104
3.5104 0.0000 3.5104
3.5104 3.5104 0.0000
```

- total DFT energy (no corrections) (eV for the cell shown) = -13.47
- symmetry = F-43m

---

Computed, not measured: PrAlAs after structural relaxation at the PBE level of DFT. Values from VASP.

```
&SYSTEM
  ibrav = 0, nat = 3, ntyp = 3
/
ATOMIC_SPECIES
Pr 140.91 Pr.upf
Al 26.98 Al.upf
As 74.92 As.upf
ATOMIC_POSITIONS angstrom
Pr 0.0000 0.0000 0.0000
Al 5.1036 5.1036 5.1036
As 3.4024 3.4024 3.4024
CELL_PARAMETERS angstrom
0.0000 3.4024 3.4024
3.4024 0.0000 3.4024
3.4024 3.4024 0.0000
```

- total DFT energy (no corrections) (eV for the cell shown) = -13.69
- symmetry = F-43m